AuSe2 (PBE-GGA, relaxed); magnetization = 0.00 μB per formula unit; ΔE_f (raw) = -0.01 eV/atom; D(E_F) = 1.838 states/eV per cell
1.0
1.941 -6.177 0.000
1.941 6.177 0.000
0.000 0.000 5.729
Au Se
2 4
Cartesian
1.941 0.000 4.297 Au
1.942 0.000 1.432 Au
1.941 4.447 4.297 Se
1.941 -4.447 1.432 Se
1.941 -4.447 4.297 Se
1.941 4.447 1.432 Se

AuSe4 (PBE-GGA, relaxed); magnetization = 0.00 μB per formula unit; ΔE_f (raw) = 0.81 eV/atom; energy above the most stable polymorph in this dataset = 756 meV per atom; D(E_F) = 8.200 states/eV per cell
1.0
-3.791 3.215 0.987
-1.028 0.307 -4.953
-3.202 -3.905 0.423
Au Se
1 4
Cartesian
-4.011 -0.191 -1.772 Au
0.000 0.000 0.000 Se
-3.496 -0.345 0.705 Se
-2.115 -1.799 -2.265 Se
-2.410 1.761 -1.983 Se

SiAu2Se (PBE-GGA, relaxed); magnetization = 0.00 μB per formula unit; ΔE_f (raw) = 0.31 eV/atom; energy above the most stable polymorph in this dataset = 284 meV per atom; D(E_F) = 1.311 states/eV per cell
1.0
2.785 0.002 0.000
-0.834 2.657 0.000
0.000 0.000 10.205
Au Se Si
2 1 1
Cartesian
0.000 0.000 10.090 Au
0.975 1.330 2.342 Au
0.000 0.000 5.190 Se
0.975 1.330 7.891 Si

SiAuSe2 (PBE-GGA, relaxed); magnetization = 0.00 μB per formula unit; ΔE_f (raw) = 0.32 eV/atom; D(E_F) = 2.142 states/eV per cell
1.0
-1.173 7.481 1.213
-3.802 5.940 -3.012
0.426 -7.275 2.388
Au Se Si
1 2 1
Cartesian
-1.617 3.458 1.351 Au
0.000 0.000 0.000 Se
-2.932 2.688 -0.762 Se
-2.487 6.710 -0.900 Si